DFT (PBE) results for a geometry-optimized Pm2Sm8Y3 structure.

```
Pm2Sm8Y3
1.0
7.702 0.000 0.000
0.000 5.685 0.000
-3.846 0.000 10.337
Pm Sm Y
2 8 3
Direct
0.240 0.000 0.482
0.760 0.000 0.518
0.131 0.500 0.263
0.188 0.000 0.789
0.332 0.500 0.663
0.398 0.000 0.211
0.602 0.000 0.789
0.668 0.500 0.337
0.812 0.000 0.211
0.869 0.500 0.737
0.000 0.000 0.000
0.285 0.500 0.000
0.715 0.500 0.000
```

crystal system = monoclinic
formation enthalpy at 0 K = 270 kJ/mol of formula units
density of states at the Fermi level = 20.9 states/eV/cell
final energy = -4.912 eV/atom

***

DFT (PBE) results for a geometry-optimized Pm2SmY8 structure.

```
Pm2SmY8
1.0
4.541 -8.046 0.000
4.541 8.046 0.000
-3.150 0.000 5.029
Pm Sm Y
2 1 8
Direct
0.194 0.806 0.000
0.806 0.194 0.000
0.500 0.500 0.500
0.076 0.076 0.296
0.170 0.401 0.833
0.291 0.709 0.500
0.401 0.170 0.833
0.599 0.830 0.167
0.709 0.291 0.500
0.830 0.599 0.167
0.924 0.924 0.704
```

crystal system = monoclinic
formation enthalpy at 0 K = 165 kJ/mol of formula units
density of states at the Fermi level = 17.1 states/eV/cell
final energy = -5.838 eV/atom

***

DFT (PBE) results for a geometry-optimized Pm5Sm6Y structure.

```
Pm5Sm6Y
1.0
3.149 -5.452 0.000
3.149 5.452 0.000
-2.102 0.000 11.876
Pm Sm Y
5 6 1
Direct
0.000 0.000 0.000
0.167 0.833 0.500
0.333 0.667 0.000
0.667 0.333 0.000
0.833 0.167 0.500
0.084 0.417 0.251
0.250 0.250 0.750
0.417 0.084 0.251
0.583 0.916 0.749
0.750 0.750 0.250
0.916 0.583 0.749
0.500 0.500 0.500
```

crystal system = monoclinic
formation enthalpy at 0 K = 15 kJ/mol of formula units
density of states at the Fermi level = 16.9 states/eV/cell
final energy = -4.865 eV/atom

***

DFT (PBE) results for a geometry-optimized Pm3SmY3 structure.

```
Pm3SmY3
1.0
3.131 1.808 14.488
-3.131 1.808 14.488
0.000 -3.615 14.488
Pm Sm Y
6 2 6
Direct
0.132 0.463 0.800
0.200 0.868 0.537
0.463 0.800 0.132
0.537 0.200 0.868
0.800 0.132 0.463
0.868 0.537 0.200
0.333 0.333 0.333
0.667 0.667 0.667
0.066 0.733 0.399
0.267 0.601 0.934
0.399 0.066 0.733
0.601 0.934 0.267
0.733 0.399 0.066
0.934 0.267 0.601
```

crystal system = trigonal
formation enthalpy at 0 K = 106 kJ/mol of formula units
density of states at the Fermi level = 22.3 states/eV/cell
distance to the lowest polymorph of the same formula = 0 meV/atom
final energy = -5.323 eV/atom

***

DFT (PBE) results for a geometry-optimized PmSm5Y2 structure.

```
PmSm5Y2
1.0
7.240 0.000 0.000
0.000 14.479 0.000
0.000 0.000 5.105
Pm Sm Y
2 10 4
Direct
0.000 0.000 0.000
0.500 0.500 0.000
0.000 0.250 0.000
0.000 0.500 0.000
0.000 0.750 0.000
0.250 0.125 0.500
0.250 0.625 0.500
0.500 0.000 0.000
0.500 0.250 0.000
0.500 0.750 0.000
0.750 0.375 0.500
0.750 0.875 0.500
0.250 0.375 0.500
0.250 0.875 0.500
0.750 0.125 0.500
0.750 0.625 0.500
```

crystal system = orthorhombic
formation enthalpy at 0 K = 11 kJ/mol of formula units
density of states at the Fermi level = 23.6 states/eV/cell
distance to the lowest polymorph of the same formula = 0 meV/atom
final energy = -5.144 eV/atom

***

DFT (PBE) results for a geometry-optimized Pm4Sm2Y structure.

```
Pm4Sm2Y
1.0
2.696 -5.736 0.000
2.696 5.736 0.000
0.000 0.000 15.640
Pm Sm Y
8 4 2
Direct
0.101 0.899 0.806
0.205 0.795 0.570
0.295 0.705 0.070
0.399 0.601 0.306
0.601 0.399 0.694
0.705 0.295 0.930
0.795 0.205 0.430
0.899 0.101 0.194
0.106 0.894 0.343
0.394 0.606 0.843
0.606 0.394 0.157
0.894 0.106 0.657
0.000 0.000 0.000
0.500 0.500 0.500
```

crystal system = orthorhombic
formation enthalpy at 0 K = 103 kJ/mol of formula units
density of states at the Fermi level = 19.7 states/eV/cell
distance to the lowest polymorph of the same formula = 0 meV/atom
final energy = -4.835 eV/atom

***

DFT (PBE) results for a geometry-optimized PmSm2Y5 structure.

```
PmSm2Y5
1.0
7.195 0.000 0.000
0.000 14.395 0.000
0.000 0.000 5.073
Pm Sm Y
2 4 10
Direct
0.000 0.000 0.000
0.500 0.500 0.000
0.249 0.375 0.500
0.251 0.875 0.500
0.749 0.125 0.500
0.751 0.625 0.500
0.000 0.500 0.000
0.001 0.750 0.000
0.249 0.125 0.500
0.251 0.625 0.500
0.499 0.250 0.000
0.500 0.000 0.000
0.501 0.750 0.000
0.749 0.375 0.500
0.751 0.875 0.500
0.999 0.250 0.000
```

crystal system = orthorhombic
formation enthalpy at 0 K = 14 kJ/mol of formula units
density of states at the Fermi level = 21.7 states/eV/cell
distance to the lowest polymorph of the same formula = 0 meV/atom
final energy = -5.796 eV/atom

***

DFT (PBE) results for a geometry-optimized Pm2Sm2Y3 structure.

```
Pm2Sm2Y3
1.0
8.837 -1.760 0.000
8.837 1.760 0.000
-4.262 0.000 7.616
Pm Sm Y
2 2 3
Direct
0.148 0.148 0.331
0.852 0.852 0.669
0.434 0.434 0.091
0.566 0.566 0.909
0.000 0.000 0.500
0.212 0.212 0.804
0.788 0.788 0.196
```

crystal system = monoclinic
formation enthalpy at 0 K = 80 kJ/mol of formula units
density of states at the Fermi level = 11.4 states/eV/cell
distance to the lowest polymorph of the same formula = 101 meV/atom
final energy = -5.358 eV/atom

***

DFT (PBE) results for a geometry-optimized Pm9Sm2Y structure.

```
Pm9Sm2Y
1.0
5.150 0.000 0.000
0.000 5.150 0.000
0.000 0.000 15.431
Pm Sm Y
9 2 1
Direct
0.000 0.000 0.000
0.000 0.000 0.333
0.000 0.000 0.667
0.000 0.500 0.166
0.000 0.500 0.500
0.000 0.500 0.834
0.500 0.000 0.166
0.500 0.000 0.500
0.500 0.000 0.834
0.500 0.500 0.333
0.500 0.500 0.667
0.500 0.500 0.000
```

crystal system = tetragonal
formation enthalpy at 0 K = 18 kJ/mol of formula units
density of states at the Fermi level = 19.4 states/eV/cell
final energy = -4.873 eV/atom

***

DFT (PBE) results for a geometry-optimized PmSm6Y4 structure.

```
PmSm6Y4
1.0
-3.290 3.290 8.745
3.290 -3.290 8.745
3.290 3.290 -8.745
Pm Sm Y
1 6 4
Direct
0.000 0.000 0.000
0.000 0.500 0.500
0.190 0.190 0.644
0.454 0.810 0.000
0.500 0.000 0.500
0.546 0.546 0.356
0.810 0.454 0.000
0.010 0.637 0.000
0.363 0.363 0.373
0.637 0.010 0.000
0.990 0.990 0.627
```

crystal system = tetragonal
formation enthalpy at 0 K = 309 kJ/mol of formula units
density of states at the Fermi level = 17.9 states/eV/cell
distance to the lowest polymorph of the same formula = 0 meV/atom
final energy = -5.065 eV/atom

***

DFT (PBE) results for a geometry-optimized Pm2Sm4Y structure.

```
Pm2Sm4Y
1.0
7.920 -1.811 0.000
7.920 1.811 0.000
-3.342 0.000 8.232
Pm Sm Y
2 4 1
Direct
0.214 0.214 0.142
0.786 0.786 0.858
0.071 0.071 0.714
0.357 0.357 0.572
0.643 0.643 0.428
0.929 0.929 0.286
0.500 0.500 0.000
```

crystal system = monoclinic
formation enthalpy at 0 K = 9 kJ/mol of formula units
density of states at the Fermi level = 9.3 states/eV/cell
final energy = -4.964 eV/atom

***

DFT (PBE) results for a geometry-optimized PmSm8Y2 structure.

```
PmSm8Y2
1.0
9.687 -3.520 0.000
9.687 3.520 0.000
-0.331 0.000 5.656
Pm Sm Y
1 8 2
Direct
0.000 0.000 0.000
0.135 0.601 0.269
0.187 0.187 0.230
0.399 0.865 0.731
0.455 0.455 0.763
0.545 0.545 0.237
0.601 0.135 0.269
0.813 0.813 0.770
0.865 0.399 0.731
0.284 0.284 0.745
0.716 0.716 0.255
```

crystal system = monoclinic
formation enthalpy at 0 K = 163 kJ/mol of formula units
density of states at the Fermi level = 17.6 states/eV/cell
distance to the lowest polymorph of the same formula = 138 meV/atom
final energy = -4.885 eV/atom